DFT (PBE-GGA) results for an optimized crystal structure of ThNiOs.

a b c (Å): 6.2147 6.2147 6.2147
angles (deg): 90.00 90.00 90.00
Last column: nearest neighbours and their distance in Å.
Space group F-43m (No. 216)
Unique sites:
Th 0.0000 0.0000 0.0000 (multiplicity 4)  4 Ni 2.69
Ni 0.2500 0.2500 0.2500 (multiplicity 4)  4 Th 2.69, 4 Os 2.69
Os 0.0000 0.0000 0.5000 (multiplicity 4)  4 Ni 2.69

total energy: -7.96 eV per atom
calculated formation energy: 0.11 eV per atom

DFT (PBE-GGA) results for an optimized crystal structure of Th2NiOs.

a b c (Å): 5.8939 4.2325 7.6311
angles (deg): 90.00 108.84 90.00
Last column: nearest neighbours and their distance in Å.
Space group P2_1/m (No. 11)
Unique sites:
Th 0.2282 0.2500 0.4350 (multiplicity 2)  4 Os 2.90-3.19, 3 Ni 2.92-3.17
Th 0.2297 0.2500 0.9328 (multiplicity 2)  3 Os 2.87-3.13, 4 Ni 2.88-3.16
Ni 0.3174 0.7500 0.2026 (multiplicity 2)  7 Th 2.88-3.17, 2 Os 2.92
Os 0.3212 0.7500 0.7099 (multiplicity 2)  7 Th 2.87-3.19, 2 Ni 2.92

total energy: -8.36 eV per atom
calculated formation energy: -0.45 eV per atom

DFT (PBE-GGA) results for an optimized crystal structure of YNiOs2.

a b c (Å): 6.3621 6.3621 6.3621
angles (deg): 90.00 90.00 90.00
Last column: nearest neighbours and their distance in Å.
Space group F-43m (No. 216)
Unique sites:
Y 0.0000 0.0000 0.0000 (multiplicity 4)  4 Os 2.75, 4 Ni 2.75
Ni 0.2500 0.2500 0.7500 (multiplicity 4)  4 Y 2.75, 4 Os 2.75
Os 0.0000 0.0000 0.5000 (multiplicity 4)  4 Ni 2.75, 4 Os 2.75
Os 0.2500 0.2500 0.2500 (multiplicity 4)  4 Os 2.75, 4 Y 2.75

total energy: -8.33 eV per atom
calculated formation energy: 0.30 eV per atom

DFT (PBE-GGA) results for an optimized crystal structure of ZnNi2Os.

a b c (Å): 5.8338 5.8338 5.8338
angles (deg): 90.00 90.00 90.00
Last column: nearest neighbours and their distance in Å.
Space group F-43m (No. 216)
Unique sites:
Zn 0.0000 0.0000 0.0000 (multiplicity 4)  4 Ni 2.53, 4 Os 2.53
Ni 0.0000 0.0000 0.5000 (multiplicity 4)  4 Os 2.53, 4 Ni 2.53
Ni 0.2500 0.2500 0.7500 (multiplicity 4)  4 Ni 2.53, 4 Zn 2.53
Os 0.2500 0.2500 0.2500 (multiplicity 4)  4 Ni 2.53, 4 Zn 2.53

total energy: -5.69 eV per atom
calculated formation energy: 0.22 eV per atom

DFT (PBE-GGA) results for an optimized crystal structure of ZrNiOs2.

a b c (Å): 6.2551 6.2551 6.2551
angles (deg): 90.00 90.00 90.00
Last column: nearest neighbours and their distance in Å.
Space group F-43m (No. 216)
Unique sites:
Zr 0.0000 0.0000 0.0000 (multiplicity 4)  4 Os 2.71, 4 Ni 2.71
Ni 0.2500 0.2500 0.7500 (multiplicity 4)  4 Zr 2.71, 4 Os 2.71
Os 0.0000 0.0000 0.5000 (multiplicity 4)  4 Ni 2.71, 4 Os 2.71
Os 0.2500 0.2500 0.2500 (multiplicity 4)  4 Zr 2.71, 4 Os 2.71

total energy: -9.05 eV per atom
calculated formation energy: 0.09 eV per atom

DFT (PBE-GGA) results for an optimized crystal structure of Ni5P2.

a b c (Å): 6.5609 6.5609 12.2175
angles (deg): 90.00 90.00 120.00
Last column: nearest neighbours and their distance in Å.
Space group P6_3cm (No. 185)
Unique sites:
Ni 0.0000 0.0000 0.0128 (multiplicity 2)  4 P 2.31-2.35, 6 Ni 2.50-2.53
Ni 0.0000 0.2349 0.6847 (multiplicity 6)  3 P 2.26, 3 Ni 2.46-2.50
Ni 0.0000 0.3070 0.8922 (multiplicity 6)  4 P 2.20-2.37, 2 Ni 2.42-2.44
Ni 0.0000 0.3827 0.2827 (multiplicity 6)  3 P 2.23-2.44, 1 Ni 2.44
Ni 0.0000 0.3842 0.5000 (multiplicity 6)  1 P 2.18, 1 Ni 2.42
Ni 0.3333 0.6667 0.1498 (multiplicity 4)  4 P 2.35-2.51, 6 Ni 2.61
P 0.0000 0.0000 0.3203 (multiplicity 2)  7 Ni 2.20-2.35
P 0.0000 0.3246 0.0856 (multiplicity 6)  7 Ni 2.18-2.37
P 0.3333 0.6667 0.3554 (multiplicity 4)  6 Ni 2.23-2.32

offset from the most stable computed form: 0 meV per atom
total energy: -5.99 eV per atom

DFT (PBE-GGA) results for an optimized crystal structure of Ni5P2.

a b c (Å): 8.8282 16.7939 4.2629
angles (deg): 90.00 90.00 90.00
Last column: nearest neighbours and their distance in Å.
Space group Fdd2 (No. 43)
Unique sites:
Ni 0.0000 0.0000 0.0000 (multiplicity 8)  2 P 2.13
Ni 0.0968 0.2834 0.7533 (multiplicity 16)  3 P 2.22-2.29
Ni 0.1063 0.3813 0.2289 (multiplicity 16)  3 P 2.20-2.29, 2 Ni 2.46
P 0.1069 0.1672 0.4875 (multiplicity 16)  7 Ni 2.13-2.29

offset from the most stable computed form: 113 meV per atom
total energy: -5.87 eV per atom

DFT (PBE-GGA) results for an optimized crystal structure of Ni5P2.

a b c (Å): 9.6981 4.9896 6.6472
angles (deg): 90.00 90.13 90.00
Last column: nearest neighbours and their distance in Å.
Space group C2/c (No. 15)
Unique sites:
Ni 0.0000 0.0955 0.2500 (multiplicity 4)  2 P 2.20
Ni 0.1292 0.2512 0.5651 (multiplicity 8)  3 P 2.23-2.35, 2 Ni 2.46-2.47
Ni 0.1289 0.2522 0.9356 (multiplicity 8)  3 P 2.23-2.37, 2 Ni 2.46-2.47
P 0.1743 0.3768 0.2503 (multiplicity 8)  7 Ni 2.20-2.37

offset from the most stable computed form: 134 meV per atom
total energy: -5.85 eV per atom

DFT (PBE-GGA) results for an optimized crystal structure of Ni8P3.

a b c (Å): 6.5717 6.5717 37.8648
angles (deg): 90.00 90.00 120.00
Last column: nearest neighbours and their distance in Å.
Space group R3c (No. 161, hexagonal axes)
Unique sites:
Ni 0.0000 0.0000 0.0000 (multiplicity 6)  4 P 2.26-2.40, 4 Ni 2.36-2.46
Ni 0.0000 0.0000 0.0624 (multiplicity 6)  4 P 2.27-2.40, 4 Ni 2.36-2.46
Ni 0.0000 0.0000 0.2229 (multiplicity 6)  4 P 2.21-2.44
Ni 0.0000 0.0000 0.3397 (multiplicity 6)  4 P 2.22-2.43
Ni 0.9998 0.2334 0.1680 (multiplicity 18)  3 P 2.24-2.33, 1 Ni 2.50
Ni 0.0009 0.2335 0.8946 (multiplicity 18)  3 P 2.24-2.33, 1 Ni 2.50
Ni 0.0064 0.3684 0.6314 (multiplicity 18)  3 P 2.22-2.42, 3 Ni 2.46-2.48
Ni 0.0350 0.3405 0.7645 (multiplicity 18)  3 P 2.22-2.42, 3 Ni 2.46-2.48
P 0.0000 0.0000 0.1224 (multiplicity 6)  10 Ni 2.26-2.42
P 0.0000 0.0000 0.2812 (multiplicity 6)  8 Ni 2.21-2.22
P 0.0000 0.0000 0.4402 (multiplicity 6)  10 Ni 2.26-2.42
P 0.0006 0.3185 0.0311 (multiplicity 18)  8 Ni 2.24-2.44

total energy: -5.99 eV per atom

DFT (PBE-GGA) results for an optimized crystal structure of Ni5P4.

a b c (Å): 6.7703 6.7703 10.9544
angles (deg): 90.00 90.00 120.00
Last column: nearest neighbours and their distance in Å.
Space group P6_3mc (No. 186)
Unique sites:
Ni 0.0000 0.0000 0.0000 (multiplicity 2)  4 P 2.16-2.19
Ni 0.0739 0.5369 0.3893 (multiplicity 6)  5 P 2.28-2.41, 1 Ni 2.47
Ni 0.0809 0.5405 0.6798 (multiplicity 6)  5 P 2.29-2.46, 3 Ni 2.47-2.56
Ni 0.2071 0.4142 0.0375 (multiplicity 6)  4 P 2.27-2.45, 1 Ni 2.46
P 0.0000 0.0000 0.3005 (multiplicity 2)  1 Ni 2.19, 3 P 2.19
P 0.1789 0.3577 0.2425 (multiplicity 6)  1 P 2.19, 5 Ni 2.27-2.33
P 0.1818 0.3637 0.5319 (multiplicity 6)  7 Ni 2.16-2.31
P 0.3333 0.6667 0.8588 (multiplicity 2)  9 Ni 2.41-2.46

total energy: -5.98 eV per atom

DFT (PBE-GGA) results for an optimized crystal structure of Ni2P3.

a b c (Å): 5.9561 5.9561 13.2887
angles (deg): 90.00 90.00 120.00
Last column: nearest neighbours and their distance in Å.
Space group R-3c (No. 167, hexagonal axes)
Unique sites:
Ni 0.0000 0.0000 0.1542 (multiplicity 12)  6 P 2.22-2.32
P 0.0000 0.3262 0.2500 (multiplicity 18)  4 Ni 2.22-2.32

total energy: -5.71 eV per atom

DFT (PBE-GGA) results for an optimized crystal structure of PaNiP2.

a b c (Å): 3.8253 3.8253 17.7904
angles (deg): 90.00 90.00 90.00
Last column: nearest neighbours and their distance in Å.
Space group I4/mmm (No. 139)
Unique sites:
Pa 0.0000 0.0000 0.1165 (multiplicity 4)  8 P 2.82-2.90, 4 Ni 3.05
Ni 0.0000 0.5000 0.2500 (multiplicity 4)  4 P 2.32
P 0.0000 0.0000 0.3242 (multiplicity 4)  4 Ni 2.32
P 0.0000 0.5000 0.0000 (multiplicity 4)  4 P 2.70, 4 Pa 2.82

total energy: -7.47 eV per atom